# 1
# Ac3S3O, relaxed, DFT PBE
# - Relative energy among the computed polymorphs: 0.0000 eV/atom
# - Formation energy (no corrections): -2446 meV/atom
data_Ac3S3O
_symmetry_space_group_name_H-M 'P 1'
_symmetry_Int_Tables_number 1
_cell_length_a 12.296
_cell_length_b 4.278
_cell_length_c 13.637
_cell_angle_alpha 90.00
_cell_angle_beta 90.00
_cell_angle_gamma 90.00
loop_
_symmetry_equiv_pos_as_xyz
'x,y,z'
loop_
_atom_site_label
_atom_site_fract_x
_atom_site_fract_y
_atom_site_fract_z
Ac1 0.037 0.250 0.154
Ac2 0.103 0.250 0.611
Ac3 0.242 0.250 0.871
Ac4 0.258 0.750 0.371
Ac5 0.397 0.750 0.111
Ac6 0.463 0.750 0.654
Ac7 0.537 0.250 0.346
Ac8 0.603 0.250 0.889
Ac9 0.742 0.250 0.629
Ac10 0.758 0.750 0.129
Ac11 0.897 0.750 0.389
Ac12 0.963 0.750 0.846
S1 0.071 0.250 0.386
S2 0.148 0.750 0.007
S3 0.227 0.750 0.715
S4 0.273 0.250 0.215
S5 0.352 0.250 0.507
S6 0.429 0.750 0.886
S7 0.571 0.250 0.114
S8 0.648 0.750 0.493
S9 0.727 0.750 0.785
S10 0.773 0.250 0.285
S11 0.852 0.250 0.993
S12 0.929 0.750 0.614
O1 0.051 0.250 0.803
O2 0.449 0.750 0.303
O3 0.551 0.250 0.697
O4 0.949 0.750 0.197

---

# 2
# Ac3S2O2, relaxed, DFT PBE
# - Relative energy among the computed polymorphs: 0.0000 eV/atom
# - Formation energy (no corrections): -2685 meV/atom
data_Ac3S2O2
_symmetry_space_group_name_H-M 'P 1'
_symmetry_Int_Tables_number 1
_cell_length_a 8.224
_cell_length_b 8.224
_cell_length_c 12.009
_cell_angle_alpha 120.28
_cell_angle_beta 120.28
_cell_angle_gamma 29.09
loop_
_symmetry_equiv_pos_as_xyz
'x,y,z'
loop_
_atom_site_label
_atom_site_fract_x
_atom_site_fract_y
_atom_site_fract_z
Ac1 0.103 0.103 0.166
Ac2 0.133 0.133 0.794
Ac3 0.395 0.395 0.537
Ac4 0.605 0.605 0.463
Ac5 0.867 0.867 0.206
Ac6 0.897 0.897 0.834
S1 0.256 0.256 0.655
S2 0.400 0.400 0.034
S3 0.600 0.600 0.966
S4 0.744 0.744 0.345
O1 0.048 0.048 0.320
O2 0.423 0.423 0.351
O3 0.577 0.577 0.649
O4 0.952 0.952 0.680

---

# 3
# Ac2SO, relaxed, DFT PBE
# - Relative energy among the computed polymorphs: 0.0000 eV/atom
# - Formation energy (no corrections): -2249 meV/atom
data_Ac2SO
_symmetry_space_group_name_H-M 'P 1'
_symmetry_Int_Tables_number 1
_cell_length_a 7.212
_cell_length_b 7.212
_cell_length_c 7.212
_cell_angle_alpha 32.19
_cell_angle_beta 32.19
_cell_angle_gamma 32.19
loop_
_symmetry_equiv_pos_as_xyz
'x,y,z'
loop_
_atom_site_label
_atom_site_fract_x
_atom_site_fract_y
_atom_site_fract_z
Ac1 0.239 0.239 0.239
Ac2 0.761 0.761 0.761
S1 0.000 0.000 0.000
O1 0.500 0.500 0.500

---

# 4
# AcSO, relaxed, DFT PBE
# - Relative energy among the computed polymorphs: 0.6044 eV/atom
# - Formation energy (no corrections): -1781 meV/atom
data_AcSO
_symmetry_space_group_name_H-M 'P 1'
_symmetry_Int_Tables_number 1
_cell_length_a 4.687
_cell_length_b 4.687
_cell_length_c 4.687
_cell_angle_alpha 60.00
_cell_angle_beta 60.00
_cell_angle_gamma 60.00
loop_
_symmetry_equiv_pos_as_xyz
'x,y,z'
loop_
_atom_site_label
_atom_site_fract_x
_atom_site_fract_y
_atom_site_fract_z
Ac1 0.000 0.000 0.000
S1 0.750 0.750 0.750
O1 0.250 0.250 0.250

---

# 5
# AcS2O8, relaxed, DFT PBE
# - Formation energy (no corrections): -1780 meV/atom
data_AcS2O8
_symmetry_space_group_name_H-M 'P 1'
_symmetry_Int_Tables_number 1
_cell_length_a 5.571
_cell_length_b 5.571
_cell_length_c 6.346
_cell_angle_alpha 111.13
_cell_angle_beta 111.13
_cell_angle_gamma 55.66
loop_
_symmetry_equiv_pos_as_xyz
'x,y,z'
loop_
_atom_site_label
_atom_site_fract_x
_atom_site_fract_y
_atom_site_fract_z
Ac1 0.000 0.000 0.000
S1 0.210 0.210 0.698
S2 0.790 0.790 0.302
O1 0.076 0.613 0.220
O2 0.151 0.151 0.443
O3 0.375 0.375 0.801
O4 0.387 0.924 0.780
O5 0.613 0.076 0.220
O6 0.625 0.625 0.199
O7 0.849 0.849 0.557
O8 0.924 0.387 0.780

---

# 6
# AcSbSO2, relaxed, DFT PBE
# - Formation energy (no corrections): -2093 meV/atom
data_AcSbSO2
_symmetry_space_group_name_H-M 'P 1'
_symmetry_Int_Tables_number 1
_cell_length_a 6.800
_cell_length_b 6.800
_cell_length_c 5.499
_cell_angle_alpha 90.00
_cell_angle_beta 90.00
_cell_angle_gamma 131.33
loop_
_symmetry_equiv_pos_as_xyz
'x,y,z'
loop_
_atom_site_label
_atom_site_fract_x
_atom_site_fract_y
_atom_site_fract_z
Ac1 0.135 0.865 0.750
Ac2 0.865 0.135 0.250
Sb1 0.421 0.579 0.750
Sb2 0.579 0.421 0.250
S1 0.247 0.753 0.250
S2 0.753 0.247 0.750
O1 0.268 0.268 0.000
O2 0.268 0.268 0.500
O3 0.732 0.732 0.000
O4 0.732 0.732 0.500

---

Please write out number 4 again, unchanged.
# AcSO, relaxed, DFT PBE
# - Relative energy among the computed polymorphs: 0.6044 eV/atom
# - Formation energy (no corrections): -1781 meV/atom
data_AcSO
_symmetry_space_group_name_H-M 'P 1'
_symmetry_Int_Tables_number 1
_cell_length_a 4.687
_cell_length_b 4.687
_cell_length_c 4.687
_cell_angle_alpha 60.00
_cell_angle_beta 60.00
_cell_angle_gamma 60.00
loop_
_symmetry_equiv_pos_as_xyz
'x,y,z'
loop_
_atom_site_label
_atom_site_fract_x
_atom_site_fract_y
_atom_site_fract_z
Ac1 0.000 0.000 0.000
S1 0.750 0.750 0.750
O1 0.250 0.250 0.250

---

- What is the formula in the sixth record?
  AcSbSO2

---

Please write out number 1 again, unchanged.
# Ac3S3O, relaxed, DFT PBE
# - Relative energy among the computed polymorphs: 0.0000 eV/atom
# - Formation energy (no corrections): -2446 meV/atom
data_Ac3S3O
_symmetry_space_group_name_H-M 'P 1'
_symmetry_Int_Tables_number 1
_cell_length_a 12.296
_cell_length_b 4.278
_cell_length_c 13.637
_cell_angle_alpha 90.00
_cell_angle_beta 90.00
_cell_angle_gamma 90.00
loop_
_symmetry_equiv_pos_as_xyz
'x,y,z'
loop_
_atom_site_label
_atom_site_fract_x
_atom_site_fract_y
_atom_site_fract_z
Ac1 0.037 0.250 0.154
Ac2 0.103 0.250 0.611
Ac3 0.242 0.250 0.871
Ac4 0.258 0.750 0.371
Ac5 0.397 0.750 0.111
Ac6 0.463 0.750 0.654
Ac7 0.537 0.250 0.346
Ac8 0.603 0.250 0.889
Ac9 0.742 0.250 0.629
Ac10 0.758 0.750 0.129
Ac11 0.897 0.750 0.389
Ac12 0.963 0.750 0.846
S1 0.071 0.250 0.386
S2 0.148 0.750 0.007
S3 0.227 0.750 0.715
S4 0.273 0.250 0.215
S5 0.352 0.250 0.507
S6 0.429 0.750 0.886
S7 0.571 0.250 0.114
S8 0.648 0.750 0.493
S9 0.727 0.750 0.785
S10 0.773 0.250 0.285
S11 0.852 0.250 0.993
S12 0.929 0.750 0.614
O1 0.051 0.250 0.803
O2 0.449 0.750 0.303
O3 0.551 0.250 0.697
O4 0.949 0.750 0.197

---

- The highest formation energy (no corrections) belongs to which entry?
  AcS2O8